VASP calculation (PBE) on a geometry-optimized NaYF2 structure.

excess energy over the best structure of this formula in the dataset: 814 meV/atom
raw formation energy: -1.795 eV/atom
V: 16.2 Å³/atom
D(E_F): 0.296 states/eV per atom

a b c (Å): 4.5096 4.5096 4.5096
angles (deg): 60.00 60.00 60.00
Fractional coordinates of all 4 atoms:
F (0.2500, 0.2500, 0.2500)
F (0.7500, 0.7500, 0.7500)
Y (0.5000, 0.5000, 0.5000)
Na (0.0000, 0.0000, 0.0000)

=====

VASP calculation (PBE) on a geometry-optimized Na2YF structure.

excess energy over the best structure of this formula in the dataset: 721 meV/atom
raw formation energy: -0.083 eV/atom
V: 28.2 Å³/atom
D(E_F): 0.248 states/eV per atom

a b c (Å): 5.4209 5.4209 5.4209
angles (deg): 60.00 60.00 60.00
Fractional coordinates of all 4 atoms:
Na (0.7500, 0.7500, 0.7500)
F (0.0000, 0.0000, 0.0000)
Y (0.5000, 0.5000, 0.5000)
Na (0.2500, 0.2500, 0.2500)